Record 1
Here is a geometry-optimized BaTl2Sb structure from Alexandria. Energies are from PBE-GGA.

The structure in POSCAR format:
```
BaTl2Sb
1.0
4.2000 0.0000 0.0000
0.0000 4.2000 0.0000
0.0000 0.0000 7.5736
Ba Tl Sb
1 2 1
Direct
0.0000 0.0000 0.0000
0.5000 0.5000 0.2946
0.5000 0.5000 0.7054
0.0000 0.0000 0.5000
```

## Properties
ΔE_f (raw): -286 meV per atom
crystal system: tetragonal
volume: 33.4 Å³/atom
energy above the most stable polymorph in this dataset: 205.0 meV per atom
SG: P4/mmm

Record 2
Here is a geometry-optimized Ac2AgPO8 structure from Alexandria. Energies are from PBE-GGA.

The structure in POSCAR format:
```
Ac2AgPO8
1.0
5.2883 0.0000 0.0000
-2.6441 4.5798 0.0000
0.0000 0.0000 7.1575
Ac Ag P O
2 1 1 8
Direct
0.3333 0.6667 0.3176
0.6667 0.3333 0.6824
0.0000 0.0000 0.0000
0.0000 0.0000 0.5000
0.1513 0.3025 0.6369
0.1513 0.8487 0.6369
0.3025 0.1513 0.3631
0.3333 0.6667 0.9812
0.6667 0.3333 0.0188
0.6975 0.8487 0.6369
0.8487 0.1513 0.3631
0.8487 0.6975 0.3631
```

## Properties
ΔE_f (raw): -1636 meV per atom
crystal system: trigonal
volume: 14.4 Å³/atom
SG: P-3m1